The following is a DFT calculation (PBE+U) of a relaxed structure of MoSeF2.

Results
Its magnetic moment is 4.00 Bohr magnetons per cell. The calculation puts the excess energy over the best structure of this formula in the dataset at 0 meV/atom. The space-group type is I-42d (122). The density of states at the Fermi level comes out at 1.611 states/eV/f.u.

Unit cell a=3.9459 b=3.9459 c=8.5069 alpha=76.59 beta=76.59 gamma=90.00
Sites, in units of the cell vectors:
F  0.3750  0.3029  0.7500
Se  0.2500  0.7500  0.5000
F  0.8750  0.9471  0.7500
F  0.0529  0.6250  0.2500
Mo  0.7500  0.2500  0.5000
Se  0.5000  0.5000  0.0000
F  0.6971  0.1250  0.2500
Mo  0.0000  0.0000  0.0000